Entry 1:
The following is a DFT calculation (PBE) of an optimized crystal structure of YMoSe2N.

## Properties
N(E_F), states/eV/cell: 1.9
E above lowest polymorph, meV per atom: 1209
Magnetic moment, μB per formula unit: 2.0

a = 5.4655 Å, b = 5.4655 Å, c = 4.2992 Å
α = 90.00°, β = 90.00°, γ = 90.00°
With the nearest neighbours (Å) after each atom.
Space group P4/mmm (No. 123)
Inequivalent atoms, fractional coordinates:
Y 0.0000 0.0000 0.0000 x1  2 N 2.15
Mo 0.5000 0.5000 0.5000 x1  8 Se 3.48, 4 N 3.86
Se 0.0000 0.5000 0.0000 x2  2 Y 2.73
N 0.0000 0.0000 0.5000 x1  2 Y 2.15



Entry 2:
The following is a DFT calculation (PBE) of an optimized crystal structure of YMoSeN2.

## Properties
N(E_F), states/eV/cell: 2.6
Magnetic moment, μB per formula unit: 0.0
DFT total energy, eV per atom: -7.860

a = 3.9938 Å, b = 3.9938 Å, c = 5.1184 Å
α = 90.00°, β = 90.00°, γ = 90.00°
With the nearest neighbours (Å) after each atom.
Space group P4/mmm (No. 123)
Inequivalent atoms, fractional coordinates:
Y 0.0000 0.0000 0.0000 x1  4 Se 2.82
Mo 0.5000 0.5000 0.5000 x1  4 N 2.00
Se 0.5000 0.5000 0.0000 x1  2 Mo 2.56, 4 Y 2.82
N 0.0000 0.5000 0.5000 x2  2 Mo 2.00



Entry 3:
The following is a DFT calculation (PBE) of an optimized crystal structure of YMoSe2N.

## Properties
N(E_F), states/eV/cell: 2.2
E above lowest polymorph, meV per atom: 0
Magnetic moment, μB per formula unit: 0.5

a = 5.1233 Å, b = 5.1233 Å, c = 3.8235 Å
α = 90.00°, β = 90.00°, γ = 90.00°
With the nearest neighbours (Å) after each atom.
Space group P4/mmm (No. 123)
Inequivalent atoms, fractional coordinates:
Y 0.0000 0.0000 0.0000 x1  8 Se 3.20
Mo 0.5000 0.5000 0.5000 x1  2 N 1.91
Se 0.0000 0.5000 0.5000 x2  2 Mo 2.56
N 0.5000 0.5000 0.0000 x1  2 Mo 1.91



Entry 4:
The following is a DFT calculation (PBE) of an optimized crystal structure of ZnMoSeN2.

## Properties
N(E_F), states/eV/cell: 2.0
E above lowest polymorph, meV per atom: 0
Magnetic moment, μB per formula unit: 0.0

a = 3.8734 Å, b = 3.8734 Å, c = 5.4263 Å
α = 90.00°, β = 90.00°, γ = 90.00°
With the nearest neighbours (Å) after each atom.
Space group P4/mmm (No. 123)
Inequivalent atoms, fractional coordinates:
Zn 0.0000 0.0000 0.0000 x1  4 Se 2.74
Mo 0.5000 0.5000 0.5000 x1  4 N 1.94
Se 0.5000 0.5000 0.0000 x1  2 Mo 2.71, 4 Zn 2.74
N 0.0000 0.5000 0.5000 x2  2 Mo 1.94